Density functional theory data (PBE with a Hubbard U) for RbMnCoF6 after structural relaxation.

Cell and atoms, written as CIF:
```
data_RbMnCoF6
_chemical_formula_sum 'Rb4 Mn4 Co4 F24'
_cell_length_a 7.2568
_cell_length_b 7.7347
_cell_length_c 10.3242
_cell_angle_alpha 90.00
_cell_angle_beta 90.00
_cell_angle_gamma 90.00
_symmetry_space_group_name_H-M 'I m m a'
_symmetry_Int_Tables_number 74
_symmetry_space_group_name_Hall '-I 2b 2'
loop_
_atom_site_label
_atom_site_type_symbol
_atom_site_fract_x
_atom_site_fract_y
_atom_site_fract_z
Rb1 Rb 0.0000 0.2500 0.1205
Mn1 Mn 0.0000 0.0000 0.5000
Co1 Co 0.2500 0.2500 0.7500
F1 F 0.0000 0.2500 0.4177
F2 F 0.0000 0.2500 0.8301
F3 F 0.1894 0.0557 0.6207
```

Values from the calculation:
**Magnetic moment**: 7.0 μB per formula unit
**Final energy**: -5.22 eV per atom